Entry 1:
An optimized crystal structure of Ta2PbW, computed with PBE.

- DOS(E_F) (states/eV/f.u.) = 4.17
- formation energy (meV per atom) = 594
- calculated total energy (eV/cell) = -38.0

a b c (Å): 9.223 9.223 9.223
angles (deg): 19.94 19.94 19.94
Atoms (fractional coordinates):
Ta 0.000 0.000 0.000
Ta 0.253 0.253 0.253
Pb 0.494 0.494 0.494
W 0.738 0.738 0.738

***

Entry 2:
An optimized crystal structure of TaCoSi2, computed with PBE.

- DOS(E_F) (states/eV/f.u.) = 1.72
- formation energy from raw total energies (meV/atom) = -292
- calculated total energy (eV/cell) = -31.0

a b c (Å): 2.908 2.908 6.360
angles (deg): 90.00 90.00 98.77
Atoms (fractional coordinates):
Ta 0.000 0.000 0.000
Co 0.000 0.000 0.500
Si 0.500 0.500 0.292
Si 0.500 0.500 0.708